Material: BaTc4P2
Method: DFT, GGA-PBE
State: optimized geometry

Results
The total energy comes out at -8.258 eV per atom.

Lattice parameters (Å, degrees): 4.079 16.123 4.023 90.00 90.00 90.00
Space group Cmmm (No. 65)
Asymmetric unit:
Ba1 0.000 0.000 0.000
Tc1 0.000 0.192 0.500
Tc2 0.000 0.297 0.000
P1 0.000 0.387 0.500